First-principles (GGA-PBE) data for an optimized crystal structure of HoMn4Al, as listed in the Alexandria database.

The structure in POSCAR format:
```
HoMn4Al
1.0
0.0000 3.4677 3.4677
3.4677 0.0000 3.4677
3.4677 3.4677 0.0000
Ho Mn Al
1 4 1
Cartesian
0.0000 0.0000 0.0000
2.6100 2.6100 2.6100
4.3254 4.3254 2.6100
4.3254 2.6100 4.3254
2.6100 4.3254 4.3254
5.2016 5.2016 5.2016
```

Properties
energy = -44.9 eV for the cell shown
ΔH_f (0 K) = 0.02 eV/atom